A relaxed Ir2AuCl crystal. Source: Alexandria via LeMat-Bulk, functional PBE-GGA.

a = 2.7851 Å, b = 4.9399 Å, c = 9.8626 Å
α = 90.00°, β = 90.00°, γ = 90.00°
Closest atoms and distances in Å follow each position.
Space group Imm2 (No. 44)
One atom of each set of equivalent atoms:
Ir: 0.0000 0.0000 0.0000 (multiplicity 2)  4 Ir 2.58-2.79
Ir: 0.0000 0.5000 0.2802 (multiplicity 2)  4 Ir 2.58-2.79, 2 Cl 2.59, 4 Au 2.84
Au: 0.0000 0.5000 0.7628 (multiplicity 2)  2 Au 2.79, 6 Ir 2.84-2.94
Cl: 0.0000 0.0000 0.5590 (multiplicity 2)  6 Ir 2.59-2.89, 2 Cl 2.79

Values from the calculation:
Calculated volume (Å³ per atom): 16.961
E above lowest polymorph (meV/atom): 456.2
DOS at the Fermi energy (states/eV/f.u.): 4.7
Crystal system: orthorhombic



A relaxed Tb3Pm2Ag2 crystal. Source: Alexandria via LeMat-Bulk, functional PBE-GGA.

a = 3.6016 Å, b = 31.2356 Å, c = 3.6021 Å
α = 90.00°, β = 90.00°, γ = 90.00°
Closest atoms and distances in Å follow each position.
Space group Cmmm (No. 65)
One atom of each set of equivalent atoms:
Tb: 0.0000 0.0000 0.0000 (multiplicity 2)  8 Ag 3.14
Tb: 0.0000 0.1191 0.0000 (multiplicity 4)  4 Ag 3.17
Pm: 0.0000 0.2991 0.5000 (multiplicity 4)  6 Pm 3.56-3.60, 4 Tb 3.61
Ag: 0.0000 0.4411 0.5000 (multiplicity 4)  8 Tb 3.14-3.17

Values from the calculation:
Calculated volume (Å³ per atom): 28.945
E above lowest polymorph (meV/atom): 0.0
DOS at the Fermi energy (states/eV/f.u.): 8.4
E_form (eV per atom): -0.106
Crystal system: orthorhombic



A relaxed LaTiC2Br crystal. Source: Alexandria via LeMat-Bulk, functional PBE-GGA.

a = 4.5149 Å, b = 4.5149 Å, c = 5.6909 Å
α = 90.00°, β = 90.00°, γ = 90.00°
Closest atoms and distances in Å follow each position.
Space group P4/mmm (No. 123)
One atom of each set of equivalent atoms:
La: 0.0000 0.0000 0.0000 (multiplicity 1)  4 C 2.26
Ti: 0.5000 0.5000 0.5000 (multiplicity 1)  4 Br 3.19
C: 0.0000 0.5000 0.0000 (multiplicity 2)  2 La 2.26
Br: 0.0000 0.0000 0.5000 (multiplicity 1)  2 La 2.85

Values from the calculation:
Calculated volume (Å³ per atom): 23.201
DOS at the Fermi energy (states/eV/f.u.): 6.6
E_tot (Ha/atom): -0.17836
Crystal system: tetragonal



A relaxed BiPbSe2Br crystal. Source: Alexandria via LeMat-Bulk, functional PBE-GGA.

a = 5.6173 Å, b = 5.6173 Å, c = 5.5084 Å
α = 90.00°, β = 90.00°, γ = 90.00°
Closest atoms and distances in Å follow each position.
Space group P4/mmm (No. 123)
One atom of each set of equivalent atoms:
Bi: 0.0000 0.0000 0.0000 (multiplicity 1)  2 Br 2.75, 4 Se 2.81
Pb: 0.5000 0.5000 0.5000 (multiplicity 1)  8 Se 3.93, 4 Br 3.97
Se: 0.0000 0.5000 0.0000 (multiplicity 2)  2 Bi 2.81
Br: 0.0000 0.0000 0.5000 (multiplicity 1)  2 Bi 2.75

Values from the calculation:
Calculated volume (Å³ per atom): 34.763
E above lowest polymorph (meV/atom): 492.7
DOS at the Fermi energy (states/eV/f.u.): 0.4
Crystal system: tetragonal



A relaxed Pr5DyHo3 crystal. Source: Alexandria via LeMat-Bulk, functional PBE-GGA.

a = 20.2595 Å, b = 6.3415 Å, c = 11.7715 Å
α = 90.00°, β = 122.89°, γ = 90.00°
Closest atoms and distances in Å follow each position.
Space group C2/c (No. 15)
One atom of each set of equivalent atoms:
Pr: 0.0000 0.0935 0.2500 (multiplicity 4)  2 Dy 3.10-3.24
Pr: 0.1390 0.1729 0.6608 (multiplicity 8)  2 Ho 3.17-3.53
Pr: 0.1798 0.3230 0.3314 (multiplicity 8)  4 Ho 3.45-3.79, 5 Pr 3.53-3.62, 1 Dy 3.68
Dy: 0.0000 0.3956 0.7500 (multiplicity 4)  4 Ho 3.02-3.34, 2 Pr 3.10-3.24
Ho: 0.0000 0.5000 0.0000 (multiplicity 4)  2 Dy 3.02, 2 Pr 3.17
Ho: 0.1752 0.2755 0.0250 (multiplicity 8)  1 Dy 3.34, 2 Ho 3.40-3.68, 4 Pr 3.45-3.58

Values from the calculation:
Calculated volume (Å³ per atom): 35.275
E above lowest polymorph (meV/atom): 0.0
DOS at the Fermi energy (states/eV/f.u.): 12.5
E_form (eV per atom): 0.269
Crystal system: monoclinic



A relaxed LaY2BiI crystal. Source: Alexandria via LeMat-Bulk, functional PBE-GGA.

a = 5.8242 Å, b = 5.8242 Å, c = 6.4950 Å
α = 90.00°, β = 90.00°, γ = 90.00°
Closest atoms and distances in Å follow each position.
Space group P4/mmm (No. 123)
One atom of each set of equivalent atoms:
La: 0.0000 0.0000 0.0000 (multiplicity 1)  4 I 4.12, 8 Y 4.36
Y: 0.0000 0.5000 0.5000 (multiplicity 2)  2 Bi 2.91
Bi: 0.5000 0.5000 0.5000 (multiplicity 1)  4 Y 2.91, 2 I 3.25
I: 0.5000 0.5000 0.0000 (multiplicity 1)  2 Bi 3.25

Values from the calculation:
Calculated volume (Å³ per atom): 44.063
DOS at the Fermi energy (states/eV/f.u.): 5.0
E_tot (Ha/atom): -0.16041
Crystal system: tetragonal



A relaxed CrRhW2 crystal. Source: Alexandria via LeMat-Bulk, functional PBE-GGA.

a = 9.1365 Å, b = 2.7054 Å, c = 4.8200 Å
α = 90.00°, β = 99.21°, γ = 90.00°
Closest atoms and distances in Å follow each position.
Space group Cm (No. 8)
One atom of each set of equivalent atoms:
Cr: 0.0000 0.0000 0.0000 (multiplicity 2)  7 W 2.65-2.80, 3 Rh 2.66-2.89, 2 Cr 2.71
Rh: 0.2341 0.5000 0.2541 (multiplicity 2)  3 Cr 2.66-2.89, 2 Rh 2.71, 7 W 2.71-2.82
W: 0.2444 0.0000 0.7708 (multiplicity 2)  3 Cr 2.65-2.77, 5 W 2.71-2.90, 4 Rh 2.71-2.82
W: 0.4815 0.0000 0.4869 (multiplicity 2)  5 W 2.71-2.90, 3 Rh 2.72, 4 Cr 2.74-2.80

Values from the calculation:
Calculated volume (Å³ per atom): 14.701
E above lowest polymorph (meV/atom): 53.9
DOS at the Fermi energy (states/eV/f.u.): 3.5
E_form (eV per atom): 0.147
Crystal system: monoclinic



A relaxed Rb6InAu4 crystal. Source: Alexandria via LeMat-Bulk, functional PBE-GGA.

a = 11.2824 Å, b = 11.2824 Å, c = 8.5033 Å
α = 90.00°, β = 90.00°, γ = 120.00°
Closest atoms and distances in Å follow each position.
Space group P6_3mc (No. 186)
One atom of each set of equivalent atoms:
Rb: 0.0587 0.5293 0.0000 (multiplicity 6)  5 Au 3.62-3.88, 1 In 3.97
Rb: 0.1368 0.2736 0.3255 (multiplicity 6)  4 Au 3.50-3.85
In: 0.3333 0.6667 0.6228 (multiplicity 2)  4 Au 2.81-2.83
Au: 0.1943 0.3886 0.7165 (multiplicity 6)  1 In 2.83
Au: 0.3333 0.6667 0.2922 (multiplicity 2)  1 In 2.81

Values from the calculation:
Calculated volume (Å³ per atom): 42.609
DOS at the Fermi energy (states/eV/f.u.): 8.9
E_form (eV per atom): -0.227
Crystal system: hexagonal



A relaxed Be15Co2Tc2 crystal. Source: Alexandria via LeMat-Bulk, functional PBE-GGA.

a = 7.2900 Å, b = 7.2900 Å, c = 10.7164 Å
α = 90.00°, β = 90.00°, γ = 120.00°
Closest atoms and distances in Å follow each position.
Space group R-3m (No. 166, hexagonal axes)
One atom of each set of equivalent atoms:
Be: 0.0000 0.2999 0.0000 (multiplicity 18)  8 Be 2.10-2.23
Be: 0.0000 0.5000 0.5000 (multiplicity 9)  8 Be 2.10-2.14, 2 Co 2.21
Be: 0.0086 0.5043 0.1533 (multiplicity 18)  8 Be 2.07-2.23, 1 Co 2.31
Co: 0.0000 0.0000 0.1023 (multiplicity 6)  1 Co 2.19, 12 Be 2.21-2.45
Tc: 0.0000 0.0000 0.3442 (multiplicity 6)  18 Be 2.56-2.84, 1 Co 2.59

Values from the calculation:
Calculated volume (Å³ per atom): 8.653
DOS at the Fermi energy (states/eV/f.u.): 9.2
E_form (eV per atom): -0.196
Crystal system: trigonal



A relaxed Y2HoTl4 crystal. Source: Alexandria via LeMat-Bulk, functional PBE-GGA.

a = 7.4663 Å, b = 7.4663 Å, c = 7.5111 Å
α = 90.00°, β = 90.00°, γ = 90.00°
Closest atoms and distances in Å follow each position.
Space group I4/mmm (No. 139)
One atom of each set of equivalent atoms:
Y: 0.0000 0.5000 0.0000 (multiplicity 4)  8 Tl 3.24
Ho: 0.0000 0.0000 0.0000 (multiplicity 2)  8 Tl 3.24
Tl: 0.2500 0.2500 0.2500 (multiplicity 8)  2 Ho 3.24, 4 Y 3.24

Values from the calculation:
Calculated volume (Å³ per atom): 29.908
DOS at the Fermi energy (states/eV/f.u.): 6.2
E_form (eV per atom): -0.242
Crystal system: tetragonal



A relaxed ZrAs3F crystal. Source: Alexandria via LeMat-Bulk, functional PBE-GGA.

a = 4.5134 Å, b = 4.5134 Å, c = 4.5134 Å
α = 90.00°, β = 90.00°, γ = 90.00°
Closest atoms and distances in Å follow each position.
Space group Pm-3m (No. 221)
One atom of each set of equivalent atoms:
Zr: 0.0000 0.0000 0.0000 (multiplicity 1)  12 As 3.19
As: 0.0000 0.5000 0.5000 (multiplicity 3)  2 F 2.26
F: 0.5000 0.5000 0.5000 (multiplicity 1)  6 As 2.26

Values from the calculation:
Calculated volume (Å³ per atom): 18.389
E above lowest polymorph (meV/atom): 0.0
DOS at the Fermi energy (states/eV/f.u.): 2.3
Crystal system: cubic



A relaxed Sm3IO7 crystal. Source: Alexandria via LeMat-Bulk, functional PBE-GGA.

a = 7.8827 Å, b = 10.9145 Å, c = 7.7540 Å
α = 90.00°, β = 90.00°, γ = 90.00°
Closest atoms and distances in Å follow each position.
Space group C222_1 (No. 20)
One atom of each set of equivalent atoms:
Sm: 0.0374 0.0000 0.0000 (multiplicity 4)  6 O 2.40-2.47
Sm: 0.2343 0.2650 0.7571 (multiplicity 8)  7 O 2.31-2.55
I: 0.0038 0.5000 0.0000 (multiplicity 4)  4 O 1.97-2.12
O: 0.0000 0.1316 0.2500 (multiplicity 4)  4 Sm 2.38-2.43
O: 0.0000 0.1382 0.7500 (multiplicity 4)  4 Sm 2.31-2.47
O: 0.0000 0.4210 0.7500 (multiplicity 4)  2 I 2.12
O: 0.1836 0.3784 0.0405 (multiplicity 8)  1 I 1.97
O: 0.2173 0.3711 0.4814 (multiplicity 8)  1 I 2.24, 3 Sm 2.32-2.44

Values from the calculation:
Calculated volume (Å³ per atom): 15.162
DOS at the Fermi energy (states/eV/f.u.): 0.0
E_tot (Ha/atom): -0.25892
Crystal system: orthorhombic



A relaxed Eu2ErHf crystal. Source: Alexandria via LeMat-Bulk, functional PBE-GGA.

a = 3.3784 Å, b = 3.3784 Å, c = 37.2299 Å
α = 90.00°, β = 90.00°, γ = 120.00°
Closest atoms and distances in Å follow each position.
Space group R-3m (No. 166, hexagonal axes)
One atom of each set of equivalent atoms:
Eu: 0.0000 0.0000 0.0838 (multiplicity 6)  1 Hf 3.12, 6 Eu 3.38
Er: 0.0000 0.0000 0.5000 (multiplicity 3)  6 Er 3.38, 6 Eu 3.65
Hf: 0.0000 0.0000 0.0000 (multiplicity 3)  2 Eu 3.12, 6 Hf 3.38

Values from the calculation:
Calculated volume (Å³ per atom): 30.666
DOS at the Fermi energy (states/eV/f.u.): 5.9
E_form (eV per atom): 0.474
Crystal system: trigonal



A relaxed TlAg2Hg crystal. Source: Alexandria via LeMat-Bulk, functional PBE-GGA.

a = 4.7932 Å, b = 4.7932 Å, c = 14.6270 Å
α = 90.00°, β = 90.00°, γ = 120.00°
Closest atoms and distances in Å follow each position.
Space group R3m (No. 160, hexagonal axes)
One atom of each set of equivalent atoms:
Tl: 0.0000 0.0000 0.0000 (multiplicity 3)  1 Hg 2.99, 7 Ag 3.04-3.25
Ag: 0.0000 0.0000 0.5810 (multiplicity 3)  3 Hg 2.84, 1 Ag 2.96, 3 Tl 3.04
Ag: 0.0000 0.0000 0.7833 (multiplicity 3)  1 Ag 2.96, 3 Hg 3.05, 4 Tl 3.17-3.25
Hg: 0.0000 0.0000 0.2043 (multiplicity 3)  6 Ag 2.84-3.05, 1 Tl 2.99

Values from the calculation:
Calculated volume (Å³ per atom): 24.252
DOS at the Fermi energy (states/eV/f.u.): 1.5
E_form (eV per atom): 0.167
Crystal system: trigonal



A relaxed SrCd2Au crystal. Source: Alexandria via LeMat-Bulk, functional PBE-GGA.

a = 5.2055 Å, b = 5.2055 Å, c = 7.4820 Å
α = 90.00°, β = 90.00°, γ = 90.00°
Closest atoms and distances in Å follow each position.
Space group I-4m2 (No. 119)
One atom of each set of equivalent atoms:
Sr: 0.0000 0.0000 0.0000 (multiplicity 2)  4 Cd 3.21, 4 Au 3.21
Cd: 0.0000 0.0000 0.5000 (multiplicity 2)  4 Cd 3.21, 4 Au 3.21
Cd: 0.0000 0.5000 0.2500 (multiplicity 2)  4 Cd 3.21, 4 Sr 3.21
Au: 0.0000 0.5000 0.7500 (multiplicity 2)  4 Cd 3.21, 4 Sr 3.21

Values from the calculation:
Calculated volume (Å³ per atom): 25.343
DOS at the Fermi energy (states/eV/f.u.): 2.2
E_form (eV per atom): -0.362
Crystal system: tetragonal



A relaxed SiO crystal. Source: Alexandria via LeMat-Bulk, functional PBE-GGA.

a = 2.5458 Å, b = 6.1170 Å, c = 6.2124 Å
α = 90.00°, β = 90.00°, γ = 90.00°
Closest atoms and distances in Å follow each position.
Space group Imm2 (No. 44)
One atom of each set of equivalent atoms:
Si: 0.0000 0.0000 0.0000 (multiplicity 2)  2 O 1.94
Si: 0.0000 0.0000 0.3840 (multiplicity 2)  4 O 1.77
O: 0.0000 0.3140 0.9609 (multiplicity 4)  3 Si 1.77-1.94

Values from the calculation:
Calculated volume (Å³ per atom): 12.093
DOS at the Fermi energy (states/eV/f.u.): 0.0
E_tot (Ha/atom): -0.24781
Crystal system: orthorhombic



A relaxed La2PrNd9 crystal. Source: Alexandria via LeMat-Bulk, functional PBE-GGA.

a = 11.7020 Å, b = 11.7020 Å, c = 3.6010 Å
α = 90.00°, β = 90.00°, γ = 120.00°
Closest atoms and distances in Å follow each position.
Space group P6/mmm (No. 191)
One atom of each set of equivalent atoms:
La: 0.3333 0.6667 0.0000 (multiplicity 2)  9 Nd 3.38-3.74, 2 La 3.60
Pr: 0.0000 0.0000 0.0000 (multiplicity 1)  2 Pr 3.60, 12 Nd 3.92
Nd: 0.0000 0.5000 0.0000 (multiplicity 3)  2 La 3.38, 2 Nd 3.60
Nd: 0.1716 0.3432 0.5000 (multiplicity 6)  8 Nd 3.48-3.78, 2 La 3.74

Values from the calculation:
Calculated volume (Å³ per atom): 35.588
E above lowest polymorph (meV/atom): 33.4
DOS at the Fermi energy (states/eV/f.u.): 16.3
E_form (eV per atom): 0.046
Crystal system: hexagonal



A relaxed P2PtPb crystal. Source: Alexandria via LeMat-Bulk, functional PBE-GGA.

a = 4.4372 Å, b = 3.8203 Å, c = 5.0421 Å
α = 90.00°, β = 102.71°, γ = 90.00°
Closest atoms and distances in Å follow each position.
Space group P2/m (No. 10)
One atom of each set of equivalent atoms:
P: 0.2343 0.0000 0.1292 (multiplicity 2)  1 P 2.20, 2 Pt 2.41
Pt: 0.5000 0.5000 0.0000 (multiplicity 1)  4 P 2.41
Pb: 0.0000 0.5000 0.5000 (multiplicity 1)  2 Pt 2.97, 4 P 3.01

Values from the calculation:
Calculated volume (Å³ per atom): 20.844
DOS at the Fermi energy (states/eV/f.u.): 1.1
E_form (eV per atom): -0.309
Crystal system: monoclinic



A relaxed YCdCl2 crystal. Source: Alexandria via LeMat-Bulk, functional PBE-GGA.

a = 6.5609 Å, b = 8.2177 Å, c = 3.5463 Å
α = 90.00°, β = 90.00°, γ = 90.00°
Closest atoms and distances in Å follow each position.
Space group Cmmm (No. 65)
One atom of each set of equivalent atoms:
Y: 0.0000 0.0000 0.0000 (multiplicity 2)  8 Cl 3.17, 2 Cd 3.28, 2 Y 3.55
Cd: 0.0000 0.5000 0.0000 (multiplicity 2)  8 Cl 3.17, 2 Y 3.28, 2 Cd 3.55
Cl: 0.2500 0.2500 0.5000 (multiplicity 4)  4 Cd 3.17, 4 Y 3.17, 4 Cl 3.28-3.55

Values from the calculation:
Calculated volume (Å³ per atom): 23.900
E above lowest polymorph (meV/atom): 453.7
DOS at the Fermi energy (states/eV/f.u.): 1.8
Crystal system: orthorhombic



A relaxed TbGa7Ag5 crystal. Source: Alexandria via LeMat-Bulk, functional PBE-GGA.

a = 5.6569 Å, b = 9.5470 Å, c = 8.9397 Å
α = 90.00°, β = 90.00°, γ = 90.00°
Closest atoms and distances in Å follow each position.
Space group Imm2 (No. 44)
One atom of each set of equivalent atoms:
Tb: 0.0000 0.0000 0.0000 (multiplicity 2)  10 Ga 3.14-3.49, 4 Ag 3.50
Ga: 0.0000 0.0000 0.3516 (multiplicity 2)  1 Ga 2.59
Ga: 0.0000 0.0000 0.6413 (multiplicity 2)  1 Ga 2.59, 4 Ag 2.90
Ga: 0.0000 0.3188 0.5063 (multiplicity 4)  5 Ag 2.68-2.73, 1 Ga 2.72
Ga: 0.0000 0.3478 0.9990 (multiplicity 4)  5 Ag 2.76-2.81, 2 Ga 2.83-2.91
Ga: 0.0000 0.5000 0.2710 (multiplicity 2)  4 Ag 2.72, 4 Ga 2.72-2.83
Ag: 0.0000 0.5000 0.7360 (multiplicity 2)  4 Ga 2.68-2.76, 4 Ag 2.84
Ag: 0.2504 0.2429 0.7534 (multiplicity 8)  7 Ga 2.72-2.96, 3 Ag 2.82-2.84

Values from the calculation:
Calculated volume (Å³ per atom): 18.569
DOS at the Fermi energy (states/eV/f.u.): 3.3
E_form (eV per atom): -0.142
Crystal system: orthorhombic